1.
{
  "formula": "Pm2SeN",
  "functional": "GGA-PBE",
  "state": "relaxed",
  "lattice_angstrom": [[3.7943, 0.0000, 0.0000], [1.8971, 3.2859, 0.0000], [1.8971, 1.0953, 6.7361]],
  "species": ["N", "Se", "Pm", "Pm"],
  "fractional_positions": [[0.5000, 0.5000, 0.5000], [0.0000, 0.0000, 0.0000], [0.2337, 0.2337, 0.2989], [0.7663, 0.7663, 0.7011]],
  "density_g_cm3": 7.6,
  "raw_formation_energy_kj_per_mol_atoms": -158.2,
  "e_above_lowest_polymorph_ev_per_atom": 0.0000
}

2.
{
  "formula": "Pm3SeN2",
  "functional": "GGA-PBE",
  "state": "relaxed",
  "lattice_angstrom": [[-2.1003, 3.2415, 0.3681], [-3.9716, -5.1462, 2.2079], [3.5311, 1.2387, 9.2390]],
  "species": ["Pm", "Pm", "Pm", "Pm", "Pm", "Pm", "Se", "Se", "N", "N", "N", "N"],
  "fractional_positions": [[0.6199, 0.2398, 0.0641], [0.0619, 0.1238, 0.7500], [0.6199, 0.2398, 0.4359], [0.9381, 0.8762, 0.2500], [0.3801, 0.7602, 0.9359], [0.3801, 0.7602, 0.5641], [0.2556, 0.5113, 0.2500], [0.7444, 0.4887, 0.7500], [0.0000, 0.0000, 0.0000], [0.0000, 0.0000, 0.5000], [0.5305, 0.0609, 0.2500], [0.4695, 0.9391, 0.7500]],
  "density_g_cm3": 7.1,
  "raw_formation_energy_kj_per_mol_atoms": -138.3
}